No. 1
Re3HgBi after structural relaxation, computed with GGA-PBE.

```
data_Re3HgBi
_cell_length_a 4.9593
_cell_length_b 4.9593
_cell_length_c 4.9593
_cell_angle_alpha 90.00
_cell_angle_beta 90.00
_cell_angle_gamma 90.00
_symmetry_space_group_name_H-M 'P 1'
_symmetry_Int_Tables_number 1
loop_
_symmetry_equiv_pos_as_xyz
'x,y,z'
loop_
_atom_site_label
_atom_site_type_symbol
_atom_site_fract_x
_atom_site_fract_y
_atom_site_fract_z
_atom_site_occupancy
Re1 Re 0.0000 0.5000 0.0000 1
Re2 Re 0.0000 0.0000 0.5000 1
Re3 Re 0.5000 0.0000 0.0000 1
Bi1 Bi 0.5000 0.5000 0.5000 1
Hg1 Hg 0.0000 0.0000 0.0000 1
```

The value obtained for the uncorrected energy is -26.7 eV per cell. The space group is No. 221. The total moment comes out at 0.812 μB per atom. Its formation energy is 2.972 eV per atom.

***

No. 2
Pu3CrSi7 after structural relaxation, computed with GGA-PBE.

```
data_Pu3CrSi7
_cell_length_a 3.8330
_cell_length_b 9.5801
_cell_length_c 11.0060
_cell_angle_alpha 90.00
_cell_angle_beta 90.00
_cell_angle_gamma 101.54
_symmetry_space_group_name_H-M 'P 1'
_symmetry_Int_Tables_number 1
loop_
_symmetry_equiv_pos_as_xyz
'x,y,z'
loop_
_atom_site_label
_atom_site_type_symbol
_atom_site_fract_x
_atom_site_fract_y
_atom_site_fract_z
_atom_site_occupancy
Si1 Si 0.4971 0.9943 0.1108 1
Si2 Si 0.7337 0.4674 0.9510 1
Si3 Si 0.3968 0.7936 0.7500 1
Si4 Si 0.5029 0.0057 0.6108 1
Si5 Si 0.6253 0.2506 0.6466 1
Si6 Si 0.6253 0.2506 0.8534 1
Si7 Si 0.3747 0.7494 0.3534 1
Si8 Si 0.5029 0.0057 0.8892 1
Si9 Si 0.2663 0.5326 0.4510 1
Si10 Si 0.6032 0.2064 0.2500 1
Si11 Si 0.3747 0.7494 0.1466 1
Si12 Si 0.7337 0.4674 0.5490 1
Si13 Si 0.2663 0.5326 0.0490 1
Si14 Si 0.4971 0.9943 0.3892 1
Pu1 Pu 0.7622 0.5243 0.2500 1
Pu2 Pu 0.2378 0.4757 0.7500 1
Pu3 Pu 0.1067 0.2135 0.0483 1
Pu4 Pu 0.8933 0.7865 0.9517 1
Pu5 Pu 0.8933 0.7865 0.5483 1
Pu6 Pu 0.1067 0.2135 0.4517 1
Cr1 Cr 0.0493 0.0986 0.7500 1
Cr2 Cr 0.9507 0.9014 0.2500 1
```

The value obtained for the uncorrected energy is -187.6 eV per cell. Its formation energy (no corrections) is -28.1 kJ/mol of atoms. The space group is No. 63. The total moment comes out at 1.626 μB per atom.

***

No. 3
GaNi2Sb after structural relaxation, computed with GGA-PBE.

```
data_GaNi2Sb
_cell_length_a 4.3724
_cell_length_b 4.3724
_cell_length_c 4.3724
_cell_angle_alpha 60.00
_cell_angle_beta 60.00
_cell_angle_gamma 60.00
_symmetry_space_group_name_H-M 'P 1'
_symmetry_Int_Tables_number 1
loop_
_symmetry_equiv_pos_as_xyz
'x,y,z'
loop_
_atom_site_label
_atom_site_type_symbol
_atom_site_fract_x
_atom_site_fract_y
_atom_site_fract_z
_atom_site_occupancy
Ga1 Ga 0.0000 0.0000 0.0000 1
Sb1 Sb 0.5000 0.5000 0.5000 1
Ni1 Ni 0.2500 0.2500 0.2500 1
Ni2 Ni 0.7500 0.7500 0.7500 1
```

The value obtained for the uncorrected energy is -18.9 eV per cell. Its formation energy (no corrections) is -4.7 kJ/mol of atoms. The space group is No. 225. The total moment comes out at 0.000 μB per atom.

***

No. 4
AlSiAu after structural relaxation, computed with GGA-PBE.

```
data_AlSiAu
_cell_length_a 5.8958
_cell_length_b 5.4555
_cell_length_c 6.3779
_cell_angle_alpha 90.00
_cell_angle_beta 90.00
_cell_angle_gamma 90.00
_symmetry_space_group_name_H-M 'P 1'
_symmetry_Int_Tables_number 1
loop_
_symmetry_equiv_pos_as_xyz
'x,y,z'
loop_
_atom_site_label
_atom_site_type_symbol
_atom_site_fract_x
_atom_site_fract_y
_atom_site_fract_z
_atom_site_occupancy
Si1 Si 0.6259 0.7500 0.8567 1
Si2 Si 0.8741 0.2500 0.3567 1
Si3 Si 0.1259 0.7500 0.6433 1
Si4 Si 0.3741 0.2500 0.1433 1
Au1 Au 0.3504 0.7500 0.1620 1
Au2 Au 0.8504 0.7500 0.3380 1
Au3 Au 0.6496 0.2500 0.8380 1
Au4 Au 0.1496 0.2500 0.6620 1
Al1 Al 0.0000 0.5000 0.0000 1
Al2 Al 0.5000 0.0000 0.5000 1
Al3 Al 0.5000 0.5000 0.5000 1
Al4 Al 0.0000 0.0000 0.0000 1
```

The value obtained for the uncorrected energy is -49.8 eV per cell. Its formation energy (no corrections) is -0.2 kJ/mol of atoms. The space group is No. 62. The total moment comes out at 0.000 μB per atom.

***

No. 5
ZrTaFe2 after structural relaxation, computed with GGA-PBE.

```
data_ZrTaFe2
_cell_length_a 4.2363
_cell_length_b 4.2363
_cell_length_c 5.4074
_cell_angle_alpha 77.17
_cell_angle_beta 77.17
_cell_angle_gamma 43.29
_symmetry_space_group_name_H-M 'P 1'
_symmetry_Int_Tables_number 1
loop_
_symmetry_equiv_pos_as_xyz
'x,y,z'
loop_
_atom_site_label
_atom_site_type_symbol
_atom_site_fract_x
_atom_site_fract_y
_atom_site_fract_z
_atom_site_occupancy
Fe1 Fe 0.5066 0.5066 0.4646 1
Fe2 Fe 0.9934 0.9934 0.0354 1
Zr1 Zr 0.7500 0.7500 0.7500 1
Ta1 Ta 0.2500 0.2500 0.2500 1
```

The value obtained for the uncorrected energy is -36.6 eV per cell. The space group is No. 12. The total moment comes out at 0.472 μB per atom. Its formation energy is 0.190 eV per atom.

***

No. 6
Fe2SiNi after structural relaxation, computed with GGA-PBE.

```
data_Fe2SiNi
_cell_length_a 3.6924
_cell_length_b 2.5355
_cell_length_c 5.2583
_cell_angle_alpha 66.72
_cell_angle_beta 90.00
_cell_angle_gamma 90.00
_symmetry_space_group_name_H-M 'P 1'
_symmetry_Int_Tables_number 1
loop_
_symmetry_equiv_pos_as_xyz
'x,y,z'
loop_
_atom_site_label
_atom_site_type_symbol
_atom_site_fract_x
_atom_site_fract_y
_atom_site_fract_z
_atom_site_occupancy
Ni1 Ni 0.5000 0.2500 0.2500 1
Fe1 Fe 0.0000 0.9725 0.9949 1
Fe2 Fe 0.0000 0.5275 0.5051 1
Si1 Si 0.5000 0.7500 0.7500 1
```

The value obtained for the uncorrected energy is -29.0 eV per cell. Its formation energy (no corrections) is -20.3 kJ/mol of atoms. The space group is No. 10. The total moment comes out at 1.182 μB per atom.

***

No. 7
Tb2InPd8 after structural relaxation, computed with GGA-PBE.

```
data_Tb2InPd8
_cell_length_a 4.6415
_cell_length_b 6.1169
_cell_length_c 8.1102
_cell_angle_alpha 112.12
_cell_angle_beta 106.63
_cell_angle_gamma 90.00
_symmetry_space_group_name_H-M 'P 1'
_symmetry_Int_Tables_number 1
loop_
_symmetry_equiv_pos_as_xyz
'x,y,z'
loop_
_atom_site_label
_atom_site_type_symbol
_atom_site_fract_x
_atom_site_fract_y
_atom_site_fract_z
_atom_site_occupancy
Tb1 Tb 0.1898 0.6896 0.3796 1
Tb2 Tb 0.8102 0.3104 0.6204 1
Pd1 Pd 0.3587 0.5911 0.7175 1
Pd2 Pd 0.3584 0.1257 0.7168 1
Pd3 Pd 0.6416 0.8743 0.2832 1
Pd4 Pd 0.6413 0.4089 0.2825 1
Pd5 Pd 0.0001 0.7381 0.0002 1
Pd6 Pd 0.9999 0.2619 0.9998 1
Pd7 Pd 0.1761 0.1763 0.3521 1
Pd8 Pd 0.8239 0.8237 0.6479 1
In1 In 0.5000 0.0000 0.0000 1
```

The value obtained for the uncorrected energy is -60.2 eV per cell. The space group is No. 71. The total moment comes out at 0.000 μB per atom. Its formation energy is -0.604 eV per atom.

***

No. 8
LaNd2Y after structural relaxation, computed with GGA-PBE.

```
data_LaNd2Y
_cell_length_a 5.8472
_cell_length_b 5.8472
_cell_length_c 5.8472
_cell_angle_alpha 60.00
_cell_angle_beta 60.00
_cell_angle_gamma 60.00
_symmetry_space_group_name_H-M 'P 1'
_symmetry_Int_Tables_number 1
loop_
_symmetry_equiv_pos_as_xyz
'x,y,z'
loop_
_atom_site_label
_atom_site_type_symbol
_atom_site_fract_x
_atom_site_fract_y
_atom_site_fract_z
_atom_site_occupancy
Y1 Y 0.5000 0.5000 0.5000 1
Nd1 Nd 0.2500 0.2500 0.2500 1
Nd2 Nd 0.7500 0.7500 0.7500 1
La1 La 0.0000 0.0000 0.0000 1
```

The value obtained for the uncorrected energy is -20.4 eV per cell. The space group is No. 225. The total moment comes out at 0.331 μB per atom. Its formation energy is 0.139 eV per atom.

***

No. 9
CaGe2S4 after structural relaxation, computed with GGA-PBE.

```
data_CaGe2S4
_cell_length_a 6.2502
_cell_length_b 8.0470
_cell_length_c 13.8063
_cell_angle_alpha 90.00
_cell_angle_beta 90.00
_cell_angle_gamma 90.00
_symmetry_space_group_name_H-M 'P 1'
_symmetry_Int_Tables_number 1
loop_
_symmetry_equiv_pos_as_xyz
'x,y,z'
loop_
_atom_site_label
_atom_site_type_symbol
_atom_site_fract_x
_atom_site_fract_y
_atom_site_fract_z
_atom_site_occupancy
Ge1 Ge 0.0000 0.5000 0.0000 1
Ge2 Ge 0.4047 0.2500 0.0869 1
Ge3 Ge 0.0000 0.0000 0.0000 1
Ge4 Ge 0.0953 0.2500 0.5869 1
Ge5 Ge 0.5953 0.7500 0.9131 1
Ge6 Ge 0.5000 0.5000 0.5000 1
Ge7 Ge 0.5000 0.0000 0.5000 1
Ge8 Ge 0.9047 0.7500 0.4131 1
S1 S 0.7486 0.5317 0.8382 1
S2 S 0.2514 0.4683 0.1618 1
S3 S 0.2486 0.4683 0.6618 1
S4 S 0.2421 0.2500 0.4380 1
S5 S 0.2403 0.7500 0.9112 1
S6 S 0.2486 0.0317 0.6618 1
S7 S 0.2514 0.0317 0.1618 1
S8 S 0.2597 0.7500 0.4112 1
S9 S 0.7514 0.9683 0.3382 1
S10 S 0.7421 0.7500 0.0620 1
S11 S 0.7597 0.2500 0.0888 1
S12 S 0.7579 0.7500 0.5620 1
S13 S 0.7486 0.9683 0.8382 1
S14 S 0.2579 0.2500 0.9380 1
S15 S 0.7403 0.2500 0.5888 1
S16 S 0.7514 0.5317 0.3382 1
Ca1 Ca 0.4842 0.7500 0.2293 1
Ca2 Ca 0.5158 0.2500 0.7707 1
Ca3 Ca 0.0158 0.7500 0.7293 1
Ca4 Ca 0.9842 0.2500 0.2707 1
```

The value obtained for the uncorrected energy is -134.0 eV per cell. Its formation energy (no corrections) is -79.2 kJ/mol of atoms. The space group is No. 62. The total moment comes out at 0.000 μB per atom.

***

No. 10
TmTaNb2 after structural relaxation, computed with GGA-PBE.

```
data_TmTaNb2
_cell_length_a 3.4024
_cell_length_b 3.4024
_cell_length_c 7.1696
_cell_angle_alpha 90.00
_cell_angle_beta 90.00
_cell_angle_gamma 90.00
_symmetry_space_group_name_H-M 'P 1'
_symmetry_Int_Tables_number 1
loop_
_symmetry_equiv_pos_as_xyz
'x,y,z'
loop_
_atom_site_label
_atom_site_type_symbol
_atom_site_fract_x
_atom_site_fract_y
_atom_site_fract_z
_atom_site_occupancy
Ta1 Ta 0.5000 0.5000 0.0000 1
Tm1 Tm 0.5000 0.5000 0.5000 1
Nb1 Nb 0.0000 0.0000 0.7921 1
Nb2 Nb 0.0000 0.0000 0.2079 1
```

The value obtained for the uncorrected energy is -35.8 eV per cell. The space group is No. 123. The total moment comes out at 0.000 μB per atom. Its formation energy is 0.158 eV per atom.

***

No. 11
CoPd2Pt6 after structural relaxation, computed with GGA-PBE.

```
data_CoPd2Pt6
_cell_length_a 2.7468
_cell_length_b 2.7468
_cell_length_c 21.1306
_cell_angle_alpha 90.00
_cell_angle_beta 90.00
_cell_angle_gamma 120.00
_symmetry_space_group_name_H-M 'P 1'
_symmetry_Int_Tables_number 1
loop_
_symmetry_equiv_pos_as_xyz
'x,y,z'
loop_
_atom_site_label
_atom_site_type_symbol
_atom_site_fract_x
_atom_site_fract_y
_atom_site_fract_z
_atom_site_occupancy
Pd1 Pd 0.3333 0.6667 0.6742 1
Pd2 Pd 0.3333 0.6667 0.3258 1
Pt1 Pt 0.0000 0.0000 0.7866 1
Pt2 Pt 0.3333 0.6667 0.9016 1
Pt3 Pt 0.0000 0.0000 0.5625 1
Pt4 Pt 0.0000 0.0000 0.4375 1
Pt5 Pt 0.3333 0.6667 0.0984 1
Pt6 Pt 0.0000 0.0000 0.2134 1
Co1 Co 0.0000 0.0000 0.0000 1
```

The value obtained for the uncorrected energy is -53.8 eV per cell. The space group is No. 187. The total moment comes out at 0.326 μB per atom. Its formation energy is -0.002 eV per atom.

***

No. 12
LiErTmGa after structural relaxation, computed with GGA-PBE.

```
data_LiErTmGa
_cell_length_a 5.0333
_cell_length_b 5.0333
_cell_length_c 5.0333
_cell_angle_alpha 60.00
_cell_angle_beta 60.00
_cell_angle_gamma 60.00
_symmetry_space_group_name_H-M 'P 1'
_symmetry_Int_Tables_number 1
loop_
_symmetry_equiv_pos_as_xyz
'x,y,z'
loop_
_atom_site_label
_atom_site_type_symbol
_atom_site_fract_x
_atom_site_fract_y
_atom_site_fract_z
_atom_site_occupancy
Er1 Er 0.5000 0.5000 0.5000 1
Tm1 Tm 0.0000 0.0000 0.0000 1
Li1 Li 0.7500 0.7500 0.7500 1
Ga1 Ga 0.2500 0.2500 0.2500 1
```

The value obtained for the uncorrected energy is -15.2 eV per cell. The space group is No. 216. The total moment comes out at 0.000 μB per atom. Its formation energy is -0.312 eV per atom.

***

Q: Among the records above, which one has the lowest uncorrected energy?
A: Pu3CrSi7

***

Q: uncorrected energy of number 7 (Tb2InPd8)?
A: -60.2 eV per cell

***

Q: Which formula does entry 6 have?
A: Fe2SiNi

***

Q: uncorrected energy of number 12 (LiErTmGa)?
A: -15.2 eV per cell